NdTm4Sc3: relaxed, PBE.

Unit cell a=10.8678 b=6.9998 c=6.0230 alpha=90.00 beta=90.00 gamma=90.00
Last column: nearest neighbours and their distance in Å.
Space group Pmn2_1 (No. 31)
One atom of each set of equivalent atoms:
Nd 0.0000 0.1192 0.0000 x2  6 Sc 3.36-3.47, 6 Tm 3.42-3.57
Tm 0.0000 0.3716 0.4978 x2  6 Tm 3.37-3.53, 4 Sc 3.37-3.53, 2 Nd 3.48-3.50
Tm 0.0000 0.6294 0.9940 x2  6 Tm 3.38-3.53, 4 Sc 3.38-3.51, 2 Nd 3.43-3.57
Tm 0.2457 0.6295 0.3370 x4  5 Sc 3.33-3.56, 6 Tm 3.37-3.52, 1 Nd 3.42
Sc 0.0000 0.8759 0.5021 x2  6 Tm 3.33-3.53, 4 Sc 3.37, 2 Nd 3.45-3.47
Sc 0.2488 0.1216 0.3312 x4  2 Nd 3.36-3.37, 4 Sc 3.37-3.46, 6 Tm 3.37-3.56

Results
DFT formation energy = 0.0228 eV/atom
M_tot = 0.0 Bohr magnetons per cell
theoretical density = 6.9 g cm⁻³
E_tot = -5.1832 eV per atom
crystal system = orthorhombic


Nd8TmSc2: relaxed, PBE.

Unit cell a=5.5245 b=8.4724 c=15.6591 alpha=90.00 beta=90.00 gamma=90.00
Last column: nearest neighbours and their distance in Å.
Space group Immm (No. 71)
One atom of each set of equivalent atoms:
Nd 0.0000 0.0000 0.1591 x4  2 Sc 3.52, 8 Nd 3.53-3.75, 2 Tm 3.72
Nd 0.0000 0.2025 0.3562 x8  3 Sc 3.38-3.49, 1 Tm 3.38, 6 Nd 3.43-3.75
Nd 0.0000 0.3019 0.0000 x4  7 Nd 3.36-3.57, 2 Sc 3.58
Tm 0.0000 0.5000 0.5000 x2  12 Nd 3.38-3.76
Sc 0.0000 0.5000 0.2017 x4  10 Nd 3.38-3.58

Results
DFT formation energy = 0.1245 eV/atom
M_tot = 0.0 Bohr magnetons per cell
theoretical density = 6.4 g cm⁻³
E_tot = -4.9007 eV per atom
crystal system = orthorhombic


Nd5Tm2Sc: relaxed, PBE.

Unit cell a=16.2559 b=9.9145 c=6.7434 alpha=90.00 beta=103.18 gamma=90.00
Last column: nearest neighbours and their distance in Å.
Space group C2/c (No. 15)
One atom of each set of equivalent atoms:
Nd 0.0000 0.0644 0.2500 x4  4 Tm 3.41-3.59, 4 Nd 3.61-3.77
Nd 0.0956 0.3982 0.1590 x8  1 Sc 3.33, 4 Tm 3.44-3.71, 1 Nd 3.59
Nd 0.2101 0.0786 0.0561 x8  2 Sc 3.36-3.37, 2 Tm 3.41-3.76, 3 Nd 3.71-3.75
Tm 0.0890 0.2556 0.6633 x8  1 Sc 3.06, 1 Tm 3.36, 2 Nd 3.41
Sc 0.2500 0.2500 0.5000 x4  2 Tm 3.06, 6 Nd 3.33-3.37

Results
DFT formation energy = 0.1222 eV/atom
M_tot = 0.0 Bohr magnetons per cell
theoretical density = 6.9 g cm⁻³
E_tot = -4.7670 eV per atom
crystal system = monoclinic


Nd2Tm7Sc2: relaxed, PBE.

Unit cell a=3.5244 b=8.8842 c=11.1889 alpha=95.79 beta=90.03 gamma=101.40
Last column: nearest neighbours and their distance in Å.
Space group P-1 (No. 2)
One atom of each set of equivalent atoms:
Nd 0.2074 0.4160 0.2403 x2  2 Sc 3.35, 8 Tm 3.43-3.63, 2 Nd 3.52
Tm 0.0000 0.0000 0.5000 x1  2 Sc 3.19, 6 Tm 3.39-3.52
Tm 0.3338 0.6683 0.5077 x2  2 Sc 3.29, 6 Tm 3.39-3.52, 3 Nd 3.47-3.52
Tm 0.3408 0.6823 0.0199 x2  2 Sc 3.33, 3 Nd 3.43-3.55, 6 Tm 3.52-3.71
Tm 0.4767 0.9498 0.7823 x2  2 Sc 3.30, 4 Tm 3.52-3.68, 2 Nd 3.62-3.63
Sc 0.1281 0.2546 0.7270 x2  7 Tm 3.19-3.33, 2 Nd 3.35, 2 Sc 3.52

Results
DFT formation energy = 0.1285 eV/atom
M_tot = 0.0 Bohr magnetons per cell
theoretical density = 7.6 g cm⁻³
E_tot = -4.7351 eV per atom
crystal system = triclinic


Nd3TmSc2: relaxed, PBE.

Unit cell a=14.5621 b=9.7157 c=5.5337 alpha=90.00 beta=90.00 gamma=90.00
Last column: nearest neighbours and their distance in Å.
Space group Cmcm (No. 63)
One atom of each set of equivalent atoms:
Nd 0.0000 0.0902 0.2500 x4  4 Nd 3.28-3.62, 3 Tm 3.33-3.61, 2 Sc 3.41
Nd 0.2468 0.1349 0.2500 x8  2 Sc 3.13-3.37
Tm 0.0000 0.2813 0.7500 x4  3 Nd 3.33-3.61, 6 Sc 3.37-3.39
Sc 0.1026 0.4057 0.2500 x8  3 Sc 2.99-3.32, 1 Nd 3.13

Results
DFT formation energy = 0.2660 eV/atom
M_tot = 0.0 Bohr magnetons per cell
theoretical density = 5.9 g cm⁻³
E_tot = -4.9737 eV per atom
crystal system = orthorhombic


NdTm5Sc2: relaxed, PBE.

Unit cell a=11.1577 b=12.0192 c=6.9655 alpha=90.00 beta=90.00 gamma=90.00
Last column: nearest neighbours and their distance in Å.
Space group Pbam (No. 55)
One atom of each set of equivalent atoms:
Nd 0.2471 0.0798 0.0000 x4  8 Tm 3.42-3.52, 4 Sc 3.42-3.48
Tm 0.0005 0.2467 0.5000 x4  4 Sc 3.38-3.49, 8 Tm 3.40-3.49
Tm 0.0002 0.2477 0.0000 x4  2 Nd 3.42-3.50, 8 Tm 3.44-3.51, 2 Sc 3.47
Tm 0.0000 0.5000 0.2548 x4  8 Tm 3.42-3.55, 2 Sc 3.45, 2 Nd 3.47
Tm 0.2490 0.8330 0.2549 x8  7 Tm 3.40-3.55, 3 Sc 3.43-3.46, 2 Nd 3.46-3.52
Sc 0.0000 0.0000 0.2570 x4  4 Sc 3.38-3.58, 6 Tm 3.41-3.47, 2 Nd 3.42
Sc 0.2468 0.0833 0.5000 x4  8 Tm 3.38-3.49, 2 Sc 3.38, 2 Nd 3.48

Results
DFT formation energy = 0.0313 eV/atom
M_tot = 0.0 Bohr magnetons per cell
theoretical density = 7.7 g cm⁻³
E_tot = -4.9423 eV per atom
crystal system = orthorhombic